No. 1
# YbIn5Ir

Crystalline YbIn5Ir at its relaxed geometry (PBE, the Alexandria database).

Cell and atoms, written as POSCAR:
```
YbIn5Ir
1.0
4.684 0.000 0.000
0.000 4.684 0.000
0.000 0.000 7.525
Yb In Ir
1 5 1
direct
0.000 0.000 0.000
0.000 0.500 0.700
0.000 0.500 0.300
0.500 0.000 0.700
0.500 0.000 0.300
0.500 0.500 0.000
0.000 0.000 0.500
```

Properties
As for the space group: P4/mmm (123). Its total energy is -26.5 eV/cell.

=====

No. 2
# Zr3InIr3

Crystalline Zr3InIr3 at its relaxed geometry (PBE, the Alexandria database).

Cell and atoms, written as POSCAR:
```
Zr3InIr3
1.0
8.159 0.000 0.000
0.000 8.159 0.000
0.000 0.000 8.159
Zr In Ir
12 4 12
direct
0.862 0.362 0.138
0.956 0.956 0.956
0.787 0.713 0.287
0.138 0.862 0.362
0.213 0.213 0.213
0.287 0.787 0.713
0.044 0.456 0.544
0.362 0.138 0.862
0.713 0.287 0.787
0.638 0.638 0.638
0.544 0.044 0.456
0.456 0.544 0.044
0.082 0.582 0.918
0.918 0.082 0.582
0.418 0.418 0.418
0.582 0.918 0.082
0.759 0.643 0.958
0.857 0.042 0.259
0.958 0.759 0.643
0.143 0.542 0.241
0.241 0.143 0.542
0.259 0.857 0.042
0.042 0.259 0.857
0.357 0.458 0.741
0.542 0.241 0.143
0.643 0.958 0.759
0.741 0.357 0.458
0.458 0.741 0.357
```

Properties
As for the space group: P2_13 (198). Its total energy is -235.2 eV/cell.

=====

No. 3
# Zr2In2Ir3

Crystalline Zr2In2Ir3 at its relaxed geometry (PBE, the Alexandria database).

Cell and atoms, written as POSCAR:
```
Zr2In2Ir3
1.0
4.472 0.004 -1.252
-2.406 3.961 -0.002
-0.240 -0.145 7.795
Zr In Ir
2 2 3
direct
0.764 0.382 0.146
0.236 0.618 0.854
0.260 0.130 0.390
0.740 0.870 0.610
0.000 0.000 0.000
0.515 0.257 0.772
0.485 0.743 0.228
```

Properties
As for the space group: C2/m (12). Its total energy is -53.4 eV/cell.

=====

No. 4
# Zr2In2Ir

Crystalline Zr2In2Ir at its relaxed geometry (PBE, the Alexandria database).

Cell and atoms, written as POSCAR:
```
Zr2In2Ir
1.0
7.011 0.000 0.000
0.000 7.011 0.000
0.000 0.000 4.275
Ir Zr In
2 4 4
direct
0.000 0.000 0.000
0.500 0.500 0.000
0.169 0.669 0.500
0.669 0.831 0.500
0.831 0.331 0.500
0.331 0.169 0.500
0.360 0.860 0.000
0.860 0.640 0.000
0.640 0.140 0.000
0.140 0.360 0.000
```

Properties
As for the space group: P4/mbm (127). Its total energy is -64.8 eV/cell.

=====

No. 5
# ZrIn3Ir

Crystalline ZrIn3Ir at its relaxed geometry (PBE, the Alexandria database).

Cell and atoms, written as POSCAR:
```
ZrIn3Ir
1.0
5.075 0.000 0.000
0.000 5.075 0.000
0.000 0.000 5.075
Ir Zr In
1 1 3
direct
0.000 0.000 0.000
0.500 0.500 0.500
0.000 0.500 0.000
0.000 0.000 0.500
0.500 0.000 0.000
```

Properties
For the energy above the most stable polymorph in this dataset, the calculation gives 0.000 eV per atom. As for the space group: Pm-3m (221). Its total energy is -23.6 eV/cell.

=====

No. 6
# Zr2InIr

Crystalline Zr2InIr at its relaxed geometry (PBE, the Alexandria database).

Cell and atoms, written as POSCAR:
```
Zr2InIr
1.0
-3.803 -1.569 3.734
1.857 -2.246 4.730
1.075 4.535 -3.024
In Ir Zr
1 1 2
direct
0.500 0.500 0.000
0.750 0.250 0.500
0.000 0.000 0.000
0.250 0.750 0.500
```

Properties
As for the space group: I-4m2 (119). Its total energy is -30.3 eV/cell.

=====

No. 7
# ZrInIr

Crystalline ZrInIr at its relaxed geometry (PBE, the Alexandria database).

Cell and atoms, written as POSCAR:
```
ZrInIr
1.0
4.541 0.000 0.000
2.271 3.933 0.000
2.271 1.311 3.708
In Ir Zr
1 1 1
direct
0.500 0.500 0.500
0.750 0.750 0.750
0.000 0.000 0.000
```

Properties
As for the space group: F-43m (216). Its total energy is -21.5 eV/cell.

=====

No. 8
# ZrInIr

Crystalline ZrInIr at its relaxed geometry (PBE, the Alexandria database).

Cell and atoms, written as POSCAR:
```
ZrInIr
1.0
4.589 0.000 0.000
2.294 3.974 0.000
2.294 1.325 3.747
In Ir Zr
1 1 1
direct
0.000 0.000 0.000
0.500 0.500 0.500
0.750 0.750 0.750
```

Properties
As for the space group: F-43m (216). Its total energy is -19.8 eV/cell.

=====

No. 9
# ZrIn3Ir

Crystalline ZrIn3Ir at its relaxed geometry (PBE, the Alexandria database).

Cell and atoms, written as POSCAR:
```
ZrIn3Ir
1.0
5.434 0.000 0.000
0.000 5.434 0.000
0.000 0.000 5.434
Ir Zr In
1 1 3
direct
0.500 0.500 0.500
0.000 0.000 0.000
0.000 0.500 0.000
0.000 0.000 0.500
0.500 0.000 0.000
```

Properties
For the energy above the most stable polymorph in this dataset, the calculation gives 1.099 eV per atom. As for the space group: Pm-3m (221). Its total energy is -18.1 eV/cell.

=====

No. 10
# Zr2InIr

Crystalline Zr2InIr at its relaxed geometry (PBE, the Alexandria database).

Cell and atoms, written as POSCAR:
```
Zr2InIr
1.0
-1.982 -8.480 -3.699
0.999 -9.047 -2.584
-1.545 -9.315 -0.607
In Ir Zr
1 1 2
direct
0.492 0.492 0.492
0.747 0.747 0.747
0.009 0.009 0.009
0.252 0.252 0.252
```

Properties
As for the space group: R3m (160). Its total energy is -29.2 eV/cell.

=====

No. 11
# Zr2InIr

Crystalline Zr2InIr at its relaxed geometry (PBE, the Alexandria database).

Cell and atoms, written as POSCAR:
```
Zr2InIr
1.0
-0.958 -2.390 1.723
0.551 -1.925 -2.365
7.829 -1.147 2.759
Ir Zr In
1 2 1
direct
0.500 0.500 0.750
0.000 0.000 0.968
0.000 0.000 0.532
0.500 0.500 0.250
```

Properties
As for the space group: P4/mmm (123). Its total energy is -30.9 eV/cell.

=====

No. 12
# Zr2InIr

Crystalline Zr2InIr at its relaxed geometry (PBE, the Alexandria database).

Cell and atoms, written as POSCAR:
```
Zr2InIr
1.0
7.741 0.000 0.000
0.000 7.741 0.000
3.871 3.871 2.997
Ir Zr In
2 4 2
direct
0.000 0.000 0.000
0.750 0.250 0.500
0.674 0.125 0.250
0.076 0.625 0.250
0.375 0.326 0.750
0.875 0.924 0.750
0.500 0.500 0.000
0.250 0.750 0.500
```

Properties
As for the space group: I-42d (122). Its total energy is -58.6 eV/cell.

=====

For each record above, in turn, the calculated energy relative to the elements values are -0.34, -0.55, -0.60, -0.19, 0.40, -0.39, -0.45, 0.12, 1.50, -0.12, -0.54, -0.15 eV per atom.